# DyPaReRh | the Alexandria database | GGA-PBE | relaxed
# Space-group type: F-43m (216)
# Raw total energy, eV/atom: -8.7873
data_DyPaReRh
_chemical_formula_sum 'Dy1 Pa1 Re1 Rh1'
_space_group_name_H-M_alt 'P 1'
_space_group_IT_number 1
_cell_length_a 4.872
_cell_length_b 4.872
_cell_length_c 4.872
_cell_angle_alpha 60.00
_cell_angle_beta 60.00
_cell_angle_gamma 60.00
loop_
_space_group_symop_operation_xyz
'x,y,z'
loop_
_atom_site_label
_atom_site_fract_x
_atom_site_fract_y
_atom_site_fract_z
Re1 0.500 0.500 0.500
Dy1 0.750 0.750 0.750
Pa1 0.250 0.250 0.250
Rh1 0.000 0.000 0.000